No. 1
Material: IBr
Method: DFT, GGA-PBE
State: optimized geometry

Cell lengths 9.200, 12.495, 6.221 Å; angles 90.00, 90.00, 90.00 degrees
Space group Pmmn (No. 59, origin choice 2)
Symmetry-distinct sites (fractional):
I (0.250, 0.031, 0.039) x4
I (0.250, 0.750, 0.717) x2
Br (0.250, 0.250, 0.087) x2
Br (0.250, 0.593, 0.399) x4

## Properties
The uncorrected formation energy is 0.37 kcal/mol of atoms. Its size of the total moment is 0.00 μB/f.u.



No. 2
Material: IBr
Method: DFT, GGA-PBE
State: optimized geometry

Cell lengths 6.573, 6.573, 6.573 Å; angles 90.00, 90.00, 90.00 degrees
Space group Fm-3m (No. 225)
Symmetry-distinct sites (fractional):
I (0.000, 0.000, 0.000) x4
Br (0.000, 0.000, 0.500) x4

## Properties
The uncorrected formation energy is 9.34 kcal/mol of atoms. Its size of the total moment is 0.00 μB/f.u.



No. 3
Material: IBr
Method: DFT, GGA-PBE
State: optimized geometry

Cell lengths 5.493, 5.570, 5.666 Å; angles 90.00, 90.00, 90.00 degrees
Space group Immm (No. 71)
Symmetry-distinct sites (fractional):
I (0.000, 0.000, 0.000) x2
Br (0.000, 0.500, 0.000) x2

## Properties
The uncorrected formation energy is 2.29 kcal/mol of atoms. Its size of the total moment is 0.00 μB/f.u.



No. 4
Material: IBr3
Method: DFT, GGA-PBE
State: optimized geometry

Cell lengths 3.5849, 3.5849, 38.9026 Å; angles 90.00, 90.00, 120.00 degrees
Space group R-3m (No. 166, hexagonal axes)
Symmetry-distinct sites (fractional):
I (0.0000, 0.0000, 0.0000) x3
Br (0.0000, 0.0000, 0.4362) x6
Br (0.0000, 0.0000, 0.5000) x3

## Properties
The uncorrected formation energy is 5.49 kcal/mol of atoms. Its size of the total moment is 0.00 μB/f.u.